[1]
DFT (PBE) results for an optimized crystal structure of BaPmSi4.

Calculated values
For the magnetic moment, the calculation gives 0.00 μB/cell. The mass density is 4.564 Mg/m³. The value obtained for the total energy is -123.05 eV/cell. The density of states at the Fermi level is 13.1 states/eV/cell. As for the polymorph energy (0 for the lowest one): 0 meV/atom. As for the uncorrected formation energy: -400 meV/atom.

Lattice parameters (Å, degrees): 7.929 15.842 4.573 90.00 90.00 90.00
Space group Pbam (No. 55)
Symmetry-distinct sites (fractional):
Ba 0.124 0.152 0.000
Pm 0.131 0.412 0.000
Si 0.025 0.693 0.500
Si 0.123 0.545 0.500
Si 0.126 0.956 0.500
Si 0.220 0.807 0.500



[2]
DFT (PBE) results for an optimized crystal structure of SrCr3Mo.

Calculated values
For the magnetic moment, the calculation gives 8.10 μB/cell. The mass density is 5.031 Mg/m³. The value obtained for the total energy is -36.36 eV/cell. The density of states at the Fermi level is 2.4 states/eV/cell. The calculated formation energy is 1.00 eV/atom. As for the polymorph energy (0 for the lowest one): 0 meV/atom.

Lattice parameters (Å, degrees): 4.821 4.821 4.821 90.00 90.00 90.00
Space group Pm-3m (No. 221)
Symmetry-distinct sites (fractional):
Sr 0.000 0.000 0.000
Cr 0.000 0.500 0.500
Mo 0.500 0.500 0.500



[3]
DFT (PBE) results for an optimized crystal structure of Ca2CuTcB.

Calculated values
For the magnetic moment, the calculation gives 0.90 μB/cell. The mass density is 3.884 Mg/m³. The value obtained for the total energy is -23.29 eV/cell. The density of states at the Fermi level is 7.0 states/eV/cell. The calculated formation energy is 0.37 eV/atom.

Lattice parameters (Å, degrees): 5.217 5.217 3.966 90.00 90.00 90.00
Space group P4/mmm (No. 123)
Symmetry-distinct sites (fractional):
Ca 0.000 0.500 0.000
Cu 0.000 0.000 0.500
Tc 0.500 0.500 0.500
B 0.500 0.500 0.000



[4]
DFT (PBE) results for an optimized crystal structure of LaTi3Se.

Calculated values
For the magnetic moment, the calculation gives 0.94 μB/cell. The mass density is 5.241 Mg/m³. The value obtained for the total energy is -32.31 eV/cell. The density of states at the Fermi level is 7.9 states/eV/cell. As for the polymorph energy (0 for the lowest one): 0 meV/atom. As for the uncorrected formation energy: -44 meV/atom.

Lattice parameters (Å, degrees): 4.856 4.856 4.856 90.00 90.00 90.00
Space group Pm-3m (No. 221)
Symmetry-distinct sites (fractional):
La 0.000 0.000 0.000
Ti 0.000 0.500 0.500
Se 0.500 0.500 0.500



[5]
DFT (PBE) results for an optimized crystal structure of PrTcTe.

Calculated values
For the magnetic moment, the calculation gives 0.00 μB/cell. The mass density is 8.197 Mg/m³. The value obtained for the total energy is -78.83 eV/cell. The density of states at the Fermi level is 8.9 states/eV/cell. As for the uncorrected formation energy: -473 meV/atom.

Lattice parameters (Å, degrees): 11.388 4.528 7.496 90.00 129.79 90.00
Space group C2/m (No. 12)
Symmetry-distinct sites (fractional):
Pr 0.059 0.000 0.309
Tc 0.123 0.500 0.066
Te 0.190 0.500 0.755



[6]
DFT (PBE) results for an optimized crystal structure of InNi22B6.

Calculated values
For the magnetic moment, the calculation gives 4.49 μB/cell. The mass density is 8.362 Mg/m³. The value obtained for the total energy is -699.85 eV/cell. The density of states at the Fermi level is 123.9 states/eV/cell. The calculated formation energy is -0.17 eV/atom. As for the polymorph energy (0 for the lowest one): 59 meV/atom.

Lattice parameters (Å, degrees): 10.533 10.533 10.533 90.00 90.00 90.00
Space group Fm-3m (No. 225)
Symmetry-distinct sites (fractional):
In 0.000 0.000 0.000
Ni 0.000 0.172 0.172
Ni 0.118 0.118 0.382
Ni 0.250 0.250 0.250
B 0.000 0.000 0.276



[7]
DFT (PBE) results for an optimized crystal structure of RuRh2Cl.

Calculated values
For the magnetic moment, the calculation gives 0.00 μB/cell. The mass density is 9.747 Mg/m³. The value obtained for the total energy is -73.23 eV/cell. The density of states at the Fermi level is 18.2 states/eV/cell. As for the polymorph energy (0 for the lowest one): 59 meV/atom. As for the uncorrected formation energy: 354 meV/atom.

Lattice parameters (Å, degrees): 2.8430 2.8430 24.9950 90.00 90.00 120.00
Space group R3m (No. 160, hexagonal axes)
Symmetry-distinct sites (fractional):
Ru 0.0000 0.0000 0.0000
Rh 0.0000 0.0000 0.2501
Rh 0.0000 0.0000 0.4962
Cl 0.0000 0.0000 0.7455



[8]
DFT (PBE) results for an optimized crystal structure of Fe2Re2Pt.

Calculated values
For the magnetic moment, the calculation gives 0.00 μB/cell. The mass density is 16.782 Mg/m³. The value obtained for the total energy is -95.02 eV/cell. The density of states at the Fermi level is 10.1 states/eV/cell. The calculated formation energy is 0.07 eV/atom.

Lattice parameters (Å, degrees): 7.064 7.064 2.694 90.00 90.00 90.00
Space group P4/mbm (No. 127)
Symmetry-distinct sites (fractional):
Fe 0.125 0.375 0.000
Re 0.168 0.668 0.500
Pt 0.000 0.000 0.000